Entry from Alexandria: crystalline Nb3AsP at its relaxed geometry (PBE).

Values from the calculation:
For the formation energy, the calculation gives 0.303 eV per atom. The value obtained for the raw total energy is -38.8 eV for the cell shown. For the excess energy over the best structure of this formula in the dataset, the calculation gives 21.60 kcal/mol of atoms. The value obtained for the total magnetization is 0.00 μB/cell. The density of states at the Fermi level comes out at 0.715 states/eV/atom.

CIF file:
```
data_Nb3AsP
_space_group_name_H-M_alt 'P m -3 m'
_space_group_IT_number 221
_space_group_name_Hall '-P 4 2 3'
_cell_length_a 4.6180
_cell_length_b 4.6180
_cell_length_c 4.6180
_cell_angle_alpha 90.00
_cell_angle_beta 90.00
_cell_angle_gamma 90.00
loop_
_atom_site_label
_atom_site_fract_x
_atom_site_fract_y
_atom_site_fract_z
Nb1 0.0000 0.0000 0.5000
As1 0.5000 0.5000 0.5000
P1 0.0000 0.0000 0.0000
```